(1)
CrTcSe2N PBE-GGA relaxed; space group = P4/mmm (123)
1.0
5.021 0.000 0.000
0.000 5.021 0.000
0.000 0.000 3.675
Cr Tc Se N
1 1 2 1
Direct
0.000 0.000 0.000 Cr
0.500 0.500 0.500 Tc
0.000 0.500 0.500 Se
0.500 0.000 0.500 Se
0.500 0.500 0.000 N

---

(2)
CrTeSe2N PBE-GGA relaxed; space group = P4/mmm (123)
1.0
5.404 0.000 0.000
0.000 5.404 0.000
0.000 0.000 3.911
Cr Te Se N
1 1 2 1
Direct
0.000 0.000 0.000 Cr
0.500 0.500 0.500 Te
0.000 0.500 0.500 Se
0.500 0.000 0.500 Se
0.500 0.500 0.000 N

---

(3)
CrTe2SeN PBE-GGA relaxed; space group = P4/mmm (123)
1.0
5.584 0.000 0.000
0.000 5.584 0.000
0.000 0.000 3.623
Cr Te Se N
1 2 1 1
Direct
0.000 0.000 0.000 Cr
0.000 0.500 0.500 Te
0.500 0.000 0.500 Te
0.500 0.500 0.500 Se
0.500 0.500 0.000 N

---

(4)
CrTe2SeN PBE-GGA relaxed; space group = P4/mmm (123)
1.0
5.260 0.000 0.000
0.000 5.260 0.000
0.000 0.000 3.560
Cr Te Se N
1 2 1 1
Direct
0.000 0.000 0.000 Cr
0.000 0.500 0.000 Te
0.500 0.000 0.000 Te
0.500 0.500 0.500 Se
0.000 0.000 0.500 N

---

(5)
CrTeSeN2 PBE-GGA relaxed; space group = P4/mmm (123)
1.0
3.922 0.000 0.000
0.000 3.922 0.000
0.000 0.000 5.971
Cr Te Se N
1 1 1 2
Direct
0.000 0.000 0.000 Cr
0.500 0.500 0.500 Te
0.500 0.500 0.000 Se
0.000 0.500 0.500 N
0.500 0.000 0.500 N

---

(6)
CrTeSeN2 PBE-GGA relaxed; space group = P4/mmm (123)
1.0
3.840 0.000 0.000
0.000 3.840 0.000
0.000 0.000 5.184
Cr Te Se N
1 1 1 2
Direct
0.000 0.000 0.000 Cr
0.500 0.500 0.500 Te
0.000 0.000 0.500 Se
0.000 0.500 0.000 N
0.500 0.000 0.000 N

---

(7)
CrTeSe2N PBE-GGA relaxed; space group = P4/mmm (123)
1.0
5.104 0.000 0.000
0.000 5.104 0.000
0.000 0.000 3.607
Cr Te Se N
1 1 2 1
Direct
0.000 0.000 0.000 Cr
0.500 0.500 0.500 Te
0.000 0.500 0.000 Se
0.500 0.000 0.000 Se
0.000 0.000 0.500 N

---

(8)
CrTeSeN2 PBE-GGA relaxed; space group = P4/mmm (123)
1.0
3.814 0.000 0.000
0.000 3.814 0.000
0.000 0.000 5.865
Cr Te Se N
1 1 1 2
Direct
0.000 0.000 0.000 Cr
0.000 0.000 0.500 Te
0.500 0.500 0.500 Se
0.000 0.500 0.000 N
0.500 0.000 0.000 N

---

no.,energy above the lowest structure with this stoichiometry (meV per atom),formation energy (no corrections) (eV/atom)
1,251,0.796
2,827,1.020
3,1196,1.445
4,0,0.249
5,694,1.313
6,116,0.735
7,0,0.193
8,0,0.619